DFT (PBE) results for a relaxed structure of CsK2SiSe4.

The space group is I222 (No. 23) and the conventional cell measures 8.218, 8.221 and 9.172 Å, with angles of 90.00, 90.00 and 90.00 degrees. Symmetry generates all atoms from Cs at (0.000, 0.000, 0.000), K at (0.000, 0.500, 0.249), Si at (0.000, 0.000, 0.500) and Se at (0.165, 0.165, 0.365).

The value obtained for the formation energy without anion corrections is -7.008 eV per formula unit. Its crystal system is orthorhombic.

DFT (PBE) results for a relaxed structure of CsK2SnSe4.

The space group is I222 (No. 23) and the conventional cell measures 8.453, 8.466 and 9.171 Å, with angles of 90.00, 90.00 and 90.00 degrees. Symmetry generates all atoms from Cs at (0.000, 0.000, 0.000), K at (0.000, 0.500, 0.249), Sn at (0.000, 0.000, 0.500) and Se at (0.180, 0.181, 0.351).

The value obtained for the formation energy without anion corrections is -6.449 eV per formula unit. Its crystal system is orthorhombic.

DFT (PBE) results for a relaxed structure of CsKSnSe3.

The space group is C2/m (No. 12) and the conventional cell measures 9.294, 10.483 and 10.867 Å, with angles of 90.00, 101.36 and 90.00 degrees. Symmetry generates all atoms from Cs at (0.237, 0.000, 0.072), K at (0.000, 0.301, 0.500), Sn at (0.044, 0.000, 0.679), Se at (0.051, 0.202, 0.798) and Se at (0.203, 0.000, 0.500).

The value obtained for the formation energy without anion corrections is -5.137 eV per formula unit. Its crystal system is monoclinic.

DFT (PBE) results for a relaxed structure of Cs2KTaSe4.

The space group is Fddd (No. 70, origin choice 2) and the conventional cell measures 7.505, 14.386 and 27.509 Å, with angles of 90.00, 90.00 and 90.00 degrees. Symmetry generates all atoms from Cs at (0.125, 0.125, 0.313), K at (0.125, 0.125, 0.125), Ta at (0.125, 0.125, 0.625) and Se at (0.055, 0.275, 0.824).

The value obtained for the formation energy without anion corrections is -8.396 eV per formula unit. Its crystal system is orthorhombic.

What is the formation energy without anion corrections in the first record?
-7.008 eV per formula unit

Which formula does entry 1 have?
CsK2SiSe4

Which of these has the lowest formation energy without anion corrections?
Cs2KTaSe4